(1)
Below is an optimized crystal structure of SrCrAs2, with properties calculated at the GGA-PBEsol level.

Results
Crystal system: trigonal
Formation energy from the elements: -0.508 eV/atom
E: -72.99 eV/cell
Magnetic moment: 7.447 μB per cell
Density of states at the Fermi level: 2.8 states/eV/f.u.

abc: 3.926 3.926 19.249
angles: 90.00 90.00 120.00
Fractional positions:
Sr 0.000 0.000 0.000
Sr 0.333 0.667 0.667
Sr 0.667 0.333 0.333
Cr 0.000 0.000 0.500
Cr 0.333 0.667 0.167
Cr 0.667 0.333 0.833
As 0.000 0.000 0.226
As 0.000 0.000 0.774
As 0.333 0.667 0.440
As 0.333 0.667 0.893
As 0.667 0.333 0.107
As 0.667 0.333 0.560

(2)
Below is an optimized crystal structure of TaCrAs, with properties calculated at the GGA-PBEsol level.

Results
Crystal system: trigonal
Formation energy from the elements: 0.199 eV/atom
E: -27.30 eV/cell
Magnetic moment: 0.002 μB per cell
Density of states at the Fermi level: 3.3 states/eV/f.u.

abc: 3.100 3.100 5.580
angles: 90.00 90.00 120.00
Fractional positions:
Ta 0.000 0.000 0.000
Cr 0.667 0.333 0.324
As 0.333 0.667 0.634

(3)
Below is an optimized crystal structure of TaCrAs, with properties calculated at the GGA-PBEsol level.

Results
Crystal system: orthorhombic
Formation energy from the elements: 0.096 eV/atom
E: -110.45 eV/cell
Magnetic moment: 6.199 μB per cell
Density of states at the Fermi level: 2.9 states/eV/f.u.

abc: 3.510 4.619 11.160
angles: 90.00 90.00 90.00
Fractional positions:
Ta 0.000 0.000 0.000
Ta 0.000 0.500 0.500
Ta 0.500 0.000 0.500
Ta 0.500 0.500 0.000
Cr 0.000 0.000 0.324
Cr 0.000 0.500 0.824
Cr 0.500 0.000 0.824
Cr 0.500 0.500 0.324
As 0.000 0.000 0.678
As 0.000 0.500 0.178
As 0.500 0.000 0.178
As 0.500 0.500 0.678

Q: Which formula does entry 3 have?
A: TaCrAs